1.
CoAgRu2 | Alexandria | PBE | optimized geometry; theoretical density = 10.724 g/cm³; spin magnetization = 1.55 Bohr magnetons per cell; space-group type = No. 160; Fermi-level density of states = 4.49 states/eV/cell; formation enthalpy at 0 K = 0.317 eV/atom
1.0
9.055 -0.003 -0.002
8.648 2.686 -0.002
8.648 1.311 2.345
Ag Co Ru
1 1 2
Direct
0.497 0.497 0.497
0.745 0.745 0.745
0.002 0.002 0.002
0.256 0.256 0.256


2.
TaAl3Rh | Alexandria | PBE | optimized geometry; energy relative to the lowest polymorph listed for this composition = 865 meV/atom; theoretical density = 5.182 g/cm³; spin magnetization = 0.73 Bohr magnetons per cell; space-group type = No. 221; Fermi-level density of states = 4.13 states/eV/cell; formation enthalpy at 0 K = 1.248 eV/atom
1.0
4.889 0.000 0.000
0.000 4.889 0.000
0.000 0.000 4.889
Rh Al Ta
1 3 1
Direct
0.500 0.500 0.500
0.000 0.500 0.000
0.000 0.000 0.500
0.500 0.000 0.000
0.000 0.000 0.000


3.
Ba4AlHg | Alexandria | PBE | optimized geometry; energy relative to the lowest polymorph listed for this composition = 0 meV/atom; theoretical density = 4.709 g/cm³; spin magnetization = 0.00 Bohr magnetons per cell; space-group type = No. 123; Fermi-level density of states = 5.38 states/eV/cell; formation enthalpy at 0 K = -0.226 eV/atom
1.0
4.230 -0.001 0.000
0.001 4.230 0.000
-0.001 -0.001 15.315
Ba Al Hg
4 1 1
Direct
0.500 0.500 0.873
0.500 0.500 0.127
0.000 0.000 0.631
0.000 0.000 0.369
0.000 0.000 0.000
0.500 0.500 0.500


4.
ThTcNiGe2 | Alexandria | PBE | optimized geometry; theoretical density = 9.790 g/cm³; spin magnetization = 0.00 Bohr magnetons per cell; space-group type = No. 119; Fermi-level density of states = 2.15 states/eV/cell; formation enthalpy at 0 K = -0.549 eV/atom
1.0
4.159 0.000 0.000
0.000 4.159 0.000
-2.079 -2.079 5.237
Th Tc Ni Ge
1 1 1 2
Direct
0.000 0.000 0.000
0.750 0.250 0.500
0.250 0.750 0.500
0.627 0.627 0.254
0.373 0.373 0.746


Question: Which value of spin magnetization does entry 2 give?
Answer: 0.73 Bohr magnetons per cell


Question: Which of these has the highest Fermi-level density of states?
Answer: Ba4AlHg